CsRbHgTe2 | PBE-GGA | optimized geometry

Cell lengths 6.654, 9.140, 9.860 Å; angles 117.61, 90.00, 90.00 degrees
Sites, in units of the cell vectors:
Te (0.777, 0.874, 0.747)
Te (0.223, 0.126, 0.253)
Te (0.223, 0.374, 0.747)
Te (0.777, 0.626, 0.253)
Rb (0.500, 0.250, 0.000)
Rb (0.500, 0.750, 0.000)
Hg (0.000, 0.500, 0.000)
Hg (0.000, 0.000, 0.000)
Cs (0.749, 0.250, 0.500)
Cs (0.251, 0.750, 0.500)

Output
- Energy: -2.405 eV per atom
- Formation energy without anion corrections: -0.724 eV per atom